The following is a PBE calculation of a geometry-optimized AcLa6Nd4 structure, from the Alexandria database.

The structure belongs to space group P4_2/nmc (No. 137, origin choice 2); the cell edges are 11.6390, 11.6390 and 6.1493 Å and the angles 90.00°, 90.00° and 90.00°. The inequivalent atoms are Ac at (0.2500, 0.7500, 0.2500), La at (0.0433, 0.5433, 0.2500), La at (0.2500, 0.2500, 0.1289) and Nd at (0.0406, 0.7500, 0.7596).

The calculated formation energy comes out at 0.19 eV/atom. Its energy above the most stable polymorph in this dataset is 0 meV per atom. Its total magnetization is 1.1 μB/cell.